[1]
Sm2Re3Si5: optimized geometry, PBE.

Computed properties:
Total magnetization = 0.00 μB per formula unit
Calculated total energy = -7.9702 eV/atom
Uncorrected formation energy = -580 meV per atom
Space group = No. 128

Unit cell a=11.0250 b=11.0250 c=5.6318 alpha=90.00 beta=90.00 gamma=90.00
Sites, in units of the cell vectors:
Sm: 0.0773 0.2370 0.0000
Sm: 0.2370 0.9227 0.0000
Sm: 0.2630 0.4227 0.5000
Sm: 0.4227 0.7370 0.5000
Sm: 0.5773 0.2630 0.5000
Sm: 0.7370 0.5773 0.5000
Sm: 0.7630 0.0773 0.0000
Sm: 0.9227 0.7630 0.0000
Re: 0.0000 0.5000 0.2500
Re: 0.0000 0.5000 0.7500
Re: 0.1238 0.8524 0.5000
Re: 0.1476 0.1238 0.5000
Re: 0.3524 0.6238 0.0000
Re: 0.3762 0.3524 0.0000
Re: 0.5000 0.0000 0.2500
Re: 0.5000 0.0000 0.7500
Re: 0.6238 0.6476 0.0000
Re: 0.6476 0.3762 0.0000
Re: 0.8524 0.8762 0.5000
Re: 0.8762 0.1476 0.5000
Si: 0.0000 0.0000 0.2523
Si: 0.0000 0.0000 0.7477
Si: 0.0260 0.3153 0.5000
Si: 0.1719 0.6719 0.2500
Si: 0.1719 0.6719 0.7500
Si: 0.1847 0.4740 0.0000
Si: 0.3153 0.9740 0.5000
Si: 0.3281 0.1719 0.2500
Si: 0.3281 0.1719 0.7500
Si: 0.4740 0.8153 0.0000
Si: 0.5000 0.5000 0.2477
Si: 0.5000 0.5000 0.7523
Si: 0.5260 0.1847 0.0000
Si: 0.6719 0.8281 0.2500
Si: 0.6719 0.8281 0.7500
Si: 0.6847 0.0260 0.5000
Si: 0.8153 0.5260 0.0000
Si: 0.8281 0.3281 0.2500
Si: 0.8281 0.3281 0.7500
Si: 0.9740 0.6847 0.5000

=====

[2]
SmReSi: optimized geometry, PBE.

Computed properties:
Total magnetization = 0.00 μB per formula unit
Calculated total energy = -7.7834 eV/atom
Uncorrected formation energy = -253 meV per atom
Space group = No. 189

Unit cell a=7.1786 b=7.1786 c=3.8233 alpha=90.00 beta=90.00 gamma=120.00
Sites, in units of the cell vectors:
Sm: 0.0000 0.4023 0.0000
Sm: 0.4023 0.0000 0.0000
Sm: 0.5977 0.5977 0.0000
Re: 0.0000 0.7555 0.5000
Re: 0.2445 0.2445 0.5000
Re: 0.7555 0.0000 0.5000
Si: 0.0000 0.0000 0.0000
Si: 0.3333 0.6667 0.5000
Si: 0.6667 0.3333 0.5000

=====

[3]
SmReSi2Tc: optimized geometry, PBE.

Computed properties:
Total magnetization = 0.00 μB per formula unit
Calculated total energy = -8.2081 eV/atom
Uncorrected formation energy = -532 meV per atom
Space group = No. 119

Unit cell a=5.9318 b=5.9318 c=5.9318 alpha=139.23 beta=139.23 gamma=59.03
Sites, in units of the cell vectors:
Sm: 0.0000 0.0000 0.0000
Re: 0.2500 0.7500 0.5000
Si: 0.3773 0.3773 0.0000
Si: 0.6227 0.6227 0.0000
Tc: 0.7500 0.2500 0.5000

=====

[4]
ReSi3Sn: optimized geometry, PBE.

Computed properties:
Total magnetization = 0.00 μB per formula unit
Calculated total energy = -5.9840 eV/atom
Uncorrected formation energy = 560 meV per atom
Space group = No. 221

Unit cell a=4.7488 b=4.7488 c=4.7488 alpha=90.00 beta=90.00 gamma=90.00
Sites, in units of the cell vectors:
Re: 0.0000 0.0000 0.0000
Si: 0.0000 0.0000 0.5000
Si: 0.0000 0.5000 0.0000
Si: 0.5000 0.0000 0.0000
Sn: 0.5000 0.5000 0.5000

=====

[5]
ReSiSn3: optimized geometry, PBE.

Computed properties:
Total magnetization = 3.19 μB per formula unit
Calculated total energy = -4.5327 eV/atom
Uncorrected formation energy = 1443 meV per atom
Space group = No. 221

Unit cell a=5.0754 b=5.0754 c=5.0754 alpha=90.00 beta=90.00 gamma=90.00
Sites, in units of the cell vectors:
Re: 0.0000 0.0000 0.0000
Si: 0.5000 0.5000 0.5000
Sn: 0.0000 0.5000 0.5000
Sn: 0.5000 0.0000 0.5000
Sn: 0.5000 0.5000 0.0000

=====

[6]
Re2SiSn: optimized geometry, PBE.

Computed properties:
Total magnetization = 0.00 μB per formula unit
Calculated total energy = -8.1923 eV/atom
Uncorrected formation energy = 388 meV per atom
Space group = No. 225

Unit cell a=4.4419 b=4.4419 c=4.4419 alpha=60.00 beta=60.00 gamma=60.00
Sites, in units of the cell vectors:
Re: 0.2500 0.2500 0.2500
Re: 0.7500 0.7500 0.7500
Si: 0.0000 0.0000 0.0000
Sn: 0.5000 0.5000 0.5000

=====

[7]
ReSi2Sn: optimized geometry, PBE.

Computed properties:
Total magnetization = 0.00 μB per formula unit
Calculated total energy = -6.1761 eV/atom
Uncorrected formation energy = 648 meV per atom
Space group = No. 122

Unit cell a=7.0666 b=7.0666 c=7.0666 alpha=131.28 beta=131.28 gamma=71.36
Sites, in units of the cell vectors:
Re: 0.0000 0.0000 0.0000
Re: 0.7500 0.2500 0.5000
Si: 0.0721 0.6250 0.9471
Si: 0.3750 0.3221 0.4471
Si: 0.6779 0.1250 0.0529
Si: 0.8750 0.9279 0.5529
Sn: 0.2500 0.7500 0.5000
Sn: 0.5000 0.5000 0.0000

=====

[8]
ReSiSn3: optimized geometry, PBE.

Computed properties:
Total magnetization = 2.60 μB per formula unit
Calculated total energy = -5.2161 eV/atom
Uncorrected formation energy = 760 meV per atom
Space group = No. 221

Unit cell a=5.1999 b=5.1999 c=5.1999 alpha=90.00 beta=90.00 gamma=90.00
Sites, in units of the cell vectors:
Re: 0.0000 0.0000 0.0000
Si: 0.5000 0.5000 0.5000
Sn: 0.0000 0.0000 0.5000
Sn: 0.0000 0.5000 0.0000
Sn: 0.5000 0.0000 0.0000

=====

[9]
Re2SiSn: optimized geometry, PBE.

Computed properties:
Total magnetization = 0.00 μB per formula unit
Calculated total energy = -7.9670 eV/atom
Uncorrected formation energy = 614 meV per atom
Space group = No. 122

Unit cell a=9.3621 b=9.3621 c=9.3621 alpha=154.71 beta=154.71 gamma=36.07
Sites, in units of the cell vectors:
Re: 0.0414 0.6250 0.9164
Re: 0.3750 0.2914 0.4164
Re: 0.7086 0.1250 0.0836
Re: 0.8750 0.9586 0.5836
Si: 0.0000 0.0000 0.0000
Si: 0.7500 0.2500 0.5000
Sn: 0.2500 0.7500 0.5000
Sn: 0.5000 0.5000 0.0000

=====

[10]
VReSi2Sn: optimized geometry, PBE.

Computed properties:
Total magnetization = 0.19 μB per formula unit
Calculated total energy = -6.1737 eV/atom
Uncorrected formation energy = 1109 meV per atom
Space group = No. 123

Unit cell a=4.5921 b=4.5921 c=5.3268 alpha=90.00 beta=90.00 gamma=90.00
Sites, in units of the cell vectors:
V: 0.0000 0.0000 0.0000
Re: 0.5000 0.5000 0.5000
Si: 0.0000 0.5000 0.5000
Si: 0.5000 0.0000 0.5000
Sn: 0.5000 0.5000 0.0000

=====

[11]
ZnReSiSn2: optimized geometry, PBE.

Computed properties:
Total magnetization = 1.17 μB per formula unit
Calculated total energy = -4.5424 eV/atom
Uncorrected formation energy = 888 meV per atom
Space group = No. 123

Unit cell a=5.1483 b=5.1483 c=4.9480 alpha=90.00 beta=90.00 gamma=90.00
Sites, in units of the cell vectors:
Zn: 0.0000 0.0000 0.0000
Re: 0.0000 0.0000 0.5000
Si: 0.5000 0.5000 0.0000
Sn: 0.0000 0.5000 0.5000
Sn: 0.5000 0.0000 0.5000

=====

[12]
ZnReSi2Sn: optimized geometry, PBE.

Computed properties:
Total magnetization = 2.63 μB per formula unit
Calculated total energy = -3.7855 eV/atom
Uncorrected formation energy = 1929 meV per atom
Space group = No. 123

Unit cell a=5.0847 b=5.0847 c=5.1522 alpha=90.00 beta=90.00 gamma=90.00
Sites, in units of the cell vectors:
Zn: 0.0000 0.0000 0.0000
Re: 0.5000 0.5000 0.0000
Si: 0.0000 0.5000 0.5000
Si: 0.5000 0.0000 0.5000
Sn: 0.5000 0.5000 0.5000